1.
Here is a relaxed structure of Ge3Ir3Pb from Alexandria. Energies are from GGA-PBE.

Theoretical density: 10.60 g/cm³
Formation energy from the elements: 0.15 eV/atom
Space group: Pm-3n, No. 223

Cell: 6.7951 6.7951 6.7951 Å, 90.00 90.00 90.00°
With the nearest neighbours (Å) after each atom.
Fractional coordinates of all 14 atoms:
1 Pb 0.5000 0.5000 0.5000  12 Ge 3.80, 12 Ir 3.80
2 Pb 0.0000 0.0000 0.0000  12 Ge 3.80, 12 Ir 3.80
3 Ge 0.0000 0.2500 0.5000  4 Ir 2.40
4 Ge 0.0000 0.7500 0.5000  4 Ir 2.40
5 Ge 0.5000 0.0000 0.7500  4 Ir 2.40
6 Ge 0.7500 0.5000 0.0000  4 Ir 2.40
7 Ge 0.5000 0.0000 0.2500  4 Ir 2.40
8 Ge 0.2500 0.5000 0.0000  4 Ir 2.40
9 Ir 0.2500 0.0000 0.5000  4 Ge 2.40
10 Ir 0.0000 0.5000 0.2500  4 Ge 2.40
11 Ir 0.5000 0.7500 0.0000  4 Ge 2.40
12 Ir 0.7500 0.0000 0.5000  4 Ge 2.40
13 Ir 0.0000 0.5000 0.7500  4 Ge 2.40
14 Ir 0.5000 0.2500 0.0000  4 Ge 2.40


2.
Here is a relaxed structure of GeIrPb from Alexandria. Energies are from GGA-PBE.

Theoretical density: 12.15 g/cm³
Formation energy from the elements: -0.02 eV/atom
Space group: C2/m, No. 12

Cell: 4.5035 5.6141 5.6738 Å, 100.59 113.38 90.00°
With the nearest neighbours (Å) after each atom.
Fractional coordinates of all 6 atoms:
1 Ir 0.8122 0.1513 0.6245  3 Ge 2.48-2.52
2 Ir 0.1878 0.8487 0.3755  3 Ge 2.48-2.52
3 Ge 0.4097 0.1288 0.8195  3 Ir 2.48-2.52, 1 Ge 2.59
4 Ge 0.5903 0.8712 0.1805  3 Ir 2.48-2.52, 1 Ge 2.59
5 Pb 0.1299 0.3336 0.2598  2 Ir 2.83-2.90
6 Pb 0.8701 0.6664 0.7402  2 Ir 2.83-2.90


3.
Here is a relaxed structure of GeIr2Pb from Alexandria. Energies are from GGA-PBE.

Theoretical density: 15.84 g/cm³
Formation energy from the elements: 0.45 eV/atom
Space group: Fm-3m, No. 225
Excess energy over the best structure of this formula in the dataset: 0.0000 eV/atom

Cell: 4.6178 4.6178 4.6178 Å, 60.00 60.00 60.00°
With the nearest neighbours (Å) after each atom.
Fractional coordinates of all 4 atoms:
1 Pb 0.5000 0.5000 0.5000  8 Ir 2.83
2 Ge 0.0000 0.0000 0.0000  8 Ir 2.83
3 Ir 0.2500 0.2500 0.2500  4 Pb 2.83, 4 Ge 2.83
4 Ir 0.7500 0.7500 0.7500  4 Ge 2.83, 4 Pb 2.83